Below is a relaxed K6SeF12 crystal, with properties calculated at the GGA-PBE level.

Summary:
N(E_F) = 14.75 states/eV per cell
theoretical density = 2.199 Mg/m³
crystal system = trigonal

a b c (Å): 7.533 7.533 7.533
angles (deg): 99.20 99.20 99.20
Positions (direct):
K (0.845, 0.401, 0.674)
K (0.155, 0.599, 0.326)
K (0.401, 0.674, 0.845)
K (0.674, 0.845, 0.401)
K (0.599, 0.326, 0.155)
K (0.326, 0.155, 0.599)
F (0.165, 0.428, 0.601)
F (0.572, 0.399, 0.835)
F (0.752, 0.942, 0.009)
F (0.942, 0.009, 0.752)
F (0.399, 0.835, 0.572)
F (0.601, 0.165, 0.428)
F (0.009, 0.752, 0.942)
F (0.058, 0.991, 0.248)
F (0.835, 0.572, 0.399)
F (0.991, 0.248, 0.058)
F (0.248, 0.058, 0.991)
F (0.428, 0.601, 0.165)
Se (0.000, 0.000, 0.000)

Below is a relaxed KSeF6 crystal, with properties calculated at the GGA-PBE level.

Summary:
N(E_F) = 2.98 states/eV per cell
theoretical density = 2.912 Mg/m³
energy relative to the lowest polymorph listed for this composition = 16.6 meV/atom
crystal system = trigonal

a b c (Å): 5.482 5.482 5.989
angles (deg): 62.76 62.76 60.00
Positions (direct):
F (0.612, 0.088, 0.212)
F (0.088, 0.612, 0.212)
F (0.088, 0.088, 0.212)
F (0.912, 0.912, 0.788)
F (0.388, 0.912, 0.788)
F (0.912, 0.388, 0.788)
K (0.500, 0.500, 0.500)
Se (0.000, 0.000, 0.000)

Below is a relaxed KSeF6 crystal, with properties calculated at the GGA-PBE level.

Summary:
N(E_F) = 2.05 states/eV per cell
theoretical density = 3.024 Mg/m³
energy relative to the lowest polymorph listed for this composition = 0.0 meV/atom
crystal system = monoclinic

a b c (Å): 5.089 5.095 5.095
angles (deg): 99.02 98.03 98.03
Positions (direct):
F (0.741, 0.739, 0.074)
F (0.741, 0.074, 0.739)
F (0.918, 0.260, 0.260)
F (0.259, 0.926, 0.261)
F (0.082, 0.740, 0.740)
F (0.259, 0.261, 0.926)
Se (0.000, 0.000, 0.000)
K (0.500, 0.500, 0.500)

Below is a relaxed K2SeF crystal, with properties calculated at the GGA-PBE level.

Summary:
N(E_F) = 12.03 states/eV per cell
theoretical density = 2.667 Mg/m³
energy relative to the lowest polymorph listed for this composition = 319.8 meV/atom
crystal system = cubic

a b c (Å): 5.373 5.373 5.373
angles (deg): 60.00 60.00 60.00
Positions (direct):
F (0.000, 0.000, 0.000)
Se (0.500, 0.500, 0.500)
K (0.750, 0.750, 0.750)
K (0.250, 0.250, 0.250)

Below is a relaxed K7Se2F2 crystal, with properties calculated at the GGA-PBE level.

Summary:
N(E_F) = 2.45 states/eV per cell
theoretical density = 1.646 Mg/m³
crystal system = monoclinic

a b c (Å): 8.378 7.227 8.378
angles (deg): 96.82 72.46 83.18
Positions (direct):
K (0.394, 0.301, 0.926)
K (0.606, 0.699, 0.074)
K (0.400, 0.768, 0.600)
K (0.926, 0.699, 0.394)
K (0.074, 0.301, 0.606)
K (0.000, 0.000, 0.000)
K (0.600, 0.232, 0.400)
F (0.765, 0.905, 0.235)
F (0.235, 0.095, 0.765)
Se (0.312, 0.500, 0.312)
Se (0.688, 0.500, 0.688)

Below is a relaxed KSeF2 crystal, with properties calculated at the GGA-PBE level.

Summary:
N(E_F) = 2.55 states/eV per cell
theoretical density = 3.417 Mg/m³
energy relative to the lowest polymorph listed for this composition = 870.2 meV/atom
crystal system = trigonal

a b c (Å): 8.687 8.687 8.687
angles (deg): 21.31 21.31 21.31
Positions (direct):
Se (0.500, 0.500, 0.500)
K (0.000, 0.000, 0.000)
F (0.910, 0.910, 0.910)
F (0.090, 0.090, 0.090)

Below is a relaxed K4Se2F crystal, with properties calculated at the GGA-PBE level.

Summary:
N(E_F) = 3.72 states/eV per cell
theoretical density = 2.492 Mg/m³
crystal system = tetragonal

a b c (Å): 5.235 5.235 8.909
angles (deg): 72.91 72.91 90.00
Positions (direct):
Se (0.628, 0.628, 0.743)
Se (0.372, 0.372, 0.257)
K (0.169, 0.169, 0.662)
K (0.000, 0.500, 0.000)
K (0.831, 0.831, 0.338)
K (0.500, 0.000, 0.000)
F (0.000, 0.000, 0.000)

Below is a relaxed KSe3F crystal, with properties calculated at the GGA-PBE level.

Summary:
N(E_F) = 12.69 states/eV per cell
theoretical density = 2.520 Mg/m³
crystal system = cubic

a b c (Å): 5.793 5.793 5.793
angles (deg): 90.00 90.00 90.00
Positions (direct):
Se (0.000, 0.500, 0.000)
Se (0.000, 0.000, 0.500)
Se (0.500, 0.000, 0.000)
F (0.500, 0.500, 0.500)
K (0.000, 0.000, 0.000)

Below is a relaxed K2SeF6 crystal, with properties calculated at the GGA-PBE level.

Summary:
N(E_F) = 0.00 states/eV per cell
theoretical density = 2.885 Mg/m³
energy relative to the lowest polymorph listed for this composition = 11.7 meV/atom
crystal system = cubic

a b c (Å): 6.043 6.043 6.043
angles (deg): 60.00 60.00 60.00
Positions (direct):
F (0.770, 0.230, 0.230)
F (0.230, 0.770, 0.770)
F (0.770, 0.770, 0.230)
F (0.230, 0.230, 0.770)
F (0.770, 0.230, 0.770)
F (0.230, 0.770, 0.230)
Se (0.000, 0.000, 0.000)
K (0.750, 0.750, 0.750)
K (0.250, 0.250, 0.250)

Below is a relaxed KSeF2 crystal, with properties calculated at the GGA-PBE level.

Summary:
N(E_F) = 0.00 states/eV per cell
theoretical density = 3.556 Mg/m³
energy relative to the lowest polymorph listed for this composition = 559.3 meV/atom
crystal system = cubic

a b c (Å): 4.689 4.689 4.689
angles (deg): 60.00 60.00 60.00
Positions (direct):
F (0.250, 0.250, 0.250)
F (0.750, 0.750, 0.750)
Se (0.500, 0.500, 0.500)
K (0.000, 0.000, 0.000)

Below is a relaxed K2Se2F crystal, with properties calculated at the GGA-PBE level.

Summary:
N(E_F) = 3.49 states/eV per cell
theoretical density = 2.798 Mg/m³
energy relative to the lowest polymorph listed for this composition = 24.2 meV/atom
crystal system = tetragonal

a b c (Å): 8.153 8.153 4.555
angles (deg): 90.00 90.00 90.00
Positions (direct):
Se (0.900, 0.600, 0.000)
Se (0.400, 0.900, 0.000)
Se (0.100, 0.400, 0.000)
Se (0.600, 0.100, 0.000)
F (0.000, 0.000, 0.000)
F (0.500, 0.500, 0.000)
K (0.695, 0.805, 0.500)
K (0.195, 0.695, 0.500)
K (0.805, 0.305, 0.500)
K (0.305, 0.195, 0.500)

Below is a relaxed K2SeF5 crystal, with properties calculated at the GGA-PBE level.

Summary:
theoretical density = 2.759 Mg/m³
crystal system = tetragonal

a b c (Å): 6.100 6.100 5.937
angles (deg): 120.92 120.92 90.00
Positions (direct):
F (0.233, 0.778, 0.012)
F (0.778, 0.233, 0.012)
F (0.779, 0.779, 0.012)
F (0.233, 0.233, 0.011)
F (0.741, 0.741, 0.483)
Se (0.012, 0.012, 0.023)
K (0.750, 0.250, 0.500)
K (0.250, 0.750, 0.500)

| no. | formation energy from raw total energies (eV/f.u.) |
| --- | --- |
| 1 | -42.794 |
| 2 | -15.586 |
| 3 | -15.719 |
| 4 | -5.330 |
| 5 | -16.161 |
| 6 | -3.304 |
| 7 | -9.910 |
| 8 | 4.963 |
| 9 | -20.407 |
| 10 | -4.547 |
| 11 | -5.418 |
| 12 | -16.759 |